Run i
Entry from Alexandria via LeMat-Bulk: a relaxed Pm2SmEr8 crystal (GGA-PBE).

```
Pm2SmEr8
1.0
-2.642 -2.055 3.731
6.591 -3.385 2.803
0.855 9.064 2.229
Er Pm Sm
8 2 1
Cartesian
0.312 4.808 2.868
3.747 2.047 7.147
0.056 5.366 6.361
3.211 4.745 4.887
4.748 -1.742 2.403
4.492 -1.185 5.895
1.057 1.576 1.616
1.592 -1.121 3.877
0.818 2.125 5.116
3.986 1.499 3.647
-1.321 -1.027 1.866
```

Summary:
* Fermi-level density of states: 15.002 states/eV/f.u.
* V: 346.0 Å³/cell
* crystal system: monoclinic
* symmetry: C2/m (12)

Run ii
Entry from Alexandria via LeMat-Bulk: a relaxed Pm2SmEr8 crystal (GGA-PBE).

```
Pm2SmEr8
1.0
5.242 0.000 -1.592
-0.986 7.305 -3.249
-0.022 -0.283 9.356
Er Pm Sm
8 2 1
Cartesian
0.677 1.083 2.229
-0.697 5.164 -2.296
3.557 5.939 2.287
2.507 6.106 -1.173
4.931 1.858 6.812
2.917 3.067 0.178
1.728 0.916 5.689
1.317 3.955 4.338
3.883 2.019 3.360
0.351 5.003 1.156
2.621 0.000 -0.796
```

Summary:
* Fermi-level density of states: 14.667 states/eV/f.u.
* V: 352.8 Å³/cell
* crystal system: orthorhombic
* symmetry: Immm (71)

run i is favored, and the nearest alternative lies 8.9 kJ/mol of atoms above it.

Run i
Entry from Alexandria via LeMat-Bulk: a relaxed Pm7Sm2Er crystal (GGA-PBE).

```
Pm7Sm2Er
1.0
3.543 0.000 0.000
0.000 9.955 -2.707
0.000 -0.644 10.296
Er Pm Sm
1 7 2
Cartesian
0.000 0.000 0.000
1.771 4.656 3.795
0.000 6.530 1.495
0.000 2.782 6.094
1.771 3.717 0.286
1.771 8.281 4.007
1.771 5.595 7.303
1.771 1.030 3.583
1.771 1.147 8.100
1.771 8.165 -0.510
```

Summary:
* Fermi-level density of states: 14.478 states/eV/f.u.
* V: 357.0 Å³/cell
* crystal system: orthorhombic
* symmetry: Cmmm (65)

Run ii
Entry from Alexandria via LeMat-Bulk: a relaxed Pm7Sm2Er crystal (GGA-PBE).

```
Pm7Sm2Er
1.0
5.387 0.000 0.000
0.000 9.649 -0.807
0.000 -5.074 8.247
Pm Sm Er
7 2 1
Cartesian
2.693 2.422 0.359
2.693 2.153 7.081
0.000 -2.090 6.412
2.693 5.348 5.116
2.693 -0.772 2.324
2.693 2.288 3.720
0.000 6.665 1.028
2.693 5.302 1.866
2.693 -0.727 5.574
0.000 0.000 0.000
```

Summary:
* Fermi-level density of states: 14.839 states/eV/f.u.
* V: 406.6 Å³/cell
* crystal system: orthorhombic
* symmetry: Cmmm (65)

run i is favored, and the nearest alternative lies 24.5 kJ/mol of atoms above it.

Run i
Entry from Alexandria via LeMat-Bulk: a relaxed PmSm2Er5 crystal (GGA-PBE).

```
PmSm2Er5
1.0
5.018 0.000 0.000
0.000 7.111 0.000
0.000 0.000 14.227
Sm Er Pm
4 10 2
Cartesian
2.509 1.793 8.904
2.509 5.349 12.436
2.509 1.762 1.791
2.509 5.318 5.323
2.509 5.344 8.899
2.509 1.788 12.441
0.000 3.555 7.113
2.509 1.767 5.328
0.000 0.000 0.000
0.000 3.540 3.569
0.000 7.095 3.545
0.000 3.571 10.658
0.000 0.016 10.682
2.509 5.323 1.786
0.000 3.555 0.000
0.000 0.000 7.113
```

Summary:
* Fermi-level density of states: 10.138 states/eV/f.u.
* V: 507.6 Å³/cell
* crystal system: orthorhombic
* symmetry: Pbam (55)

Run ii
Entry from Alexandria via LeMat-Bulk: a relaxed PmSm2Er5 crystal (GGA-PBE).

```
PmSm2Er5
1.0
9.054 0.000 -3.873
-1.002 5.936 -2.343
-0.783 -1.744 10.688
Er Sm Pm
10 4 2
Cartesian
6.982 2.673 1.568
6.035 -0.013 -0.685
1.401 4.488 1.042
0.287 1.520 2.904
3.379 1.237 5.625
7.791 4.452 -5.412
3.890 2.956 -1.153
1.234 4.205 5.157
0.261 1.484 -0.805
5.868 -0.295 3.430
6.788 2.933 -2.806
2.839 -0.035 0.270
4.430 4.228 4.202
0.481 1.260 7.278
3.634 2.096 2.236
-0.392 -0.872 5.344
```

Summary:
* Fermi-level density of states: 12.081 states/eV/f.u.
* V: 512.7 Å³/cell
* crystal system: monoclinic
* symmetry: C2/c (15)

run i is favored, and the nearest alternative lies 15.1 kJ/mol of atoms above it.

Run i
Entry from Alexandria via LeMat-Bulk: a relaxed Pm8Sm3Er2 crystal (GGA-PBE).

```
Pm8Sm3Er2
1.0
-0.231 0.980 5.678
6.505 -4.085 0.969
2.244 10.499 -1.727
Pm Er Sm
8 2 3
Cartesian
7.278 4.152 -0.423
2.848 7.969 1.663
1.240 3.242 5.343
5.543 6.276 2.064
2.975 1.118 2.855
5.164 0.900 0.056
3.354 6.494 4.864
5.670 -0.575 3.257
2.530 4.559 2.236
5.988 2.835 2.684
1.877 -1.179 0.280
-0.115 0.490 2.839
4.628 -2.906 0.690
```

Summary:
* Fermi-level density of states: 19.429 states/eV/f.u.
* V: 453.6 Å³/cell
* crystal system: monoclinic
* symmetry: C2/m (12)

Run ii
Entry from Alexandria via LeMat-Bulk: a relaxed Pm8Sm3Er2 crystal (GGA-PBE).

```
Pm8Sm3Er2
1.0
6.059 0.294 1.317
1.954 8.496 1.477
0.814 -0.725 8.775
Er Pm Sm
2 8 3
Cartesian
5.877 5.722 8.148
2.951 2.343 3.421
6.175 1.470 2.822
4.131 7.571 5.545
5.986 3.685 5.591
3.575 3.072 9.106
4.696 0.494 6.024
2.652 6.595 8.747
5.252 4.993 2.463
2.841 4.379 5.977
1.094 1.537 6.985
1.674 6.234 3.267
3.030 0.147 0.659
```

Summary:
* Fermi-level density of states: 22.448 states/eV/f.u.
* V: 442.5 Å³/cell
* crystal system: monoclinic
* symmetry: C2/m (12)

run ii is favored, and the nearest alternative lies 5.2 kJ/mol of atoms above it.

Run i
Entry from Alexandria via LeMat-Bulk: a relaxed PmSm2Er3 crystal (GGA-PBE).

```
PmSm2Er3
1.0
6.371 0.000 0.000
0.000 7.411 3.289
0.000 -0.764 8.072
Er Sm Pm
6 4 2
Cartesian
0.719 3.141 8.785
3.905 3.506 2.576
2.011 6.101 10.427
3.905 0.528 4.319
0.719 6.119 7.042
5.197 0.546 0.934
0.403 4.434 4.157
3.588 5.196 5.459
3.588 2.214 7.204
0.403 1.452 5.901
5.036 5.482 9.369
1.850 1.166 1.992
```

Summary:
* Fermi-level density of states: 9.109 states/eV/f.u.
* V: 397.1 Å³/cell
* crystal system: orthorhombic
* symmetry: Cmc2_1 (36)

Run ii
Entry from Alexandria via LeMat-Bulk: a relaxed PmSm2Er3 crystal (GGA-PBE).

```
PmSm2Er3
1.0
-2.585 2.333 0.373
-2.402 -1.074 -9.915
-4.805 -8.902 5.932
Pm Sm Er
2 4 6
Cartesian
-3.663 -1.767 2.100
-6.128 -5.876 -5.710
-1.158 -1.196 -0.543
-5.273 -5.452 -2.442
-8.633 -6.446 -3.067
-4.518 -2.191 -1.168
-4.408 -5.029 0.907
-5.384 -2.614 -4.517
-6.716 -7.424 -0.102
-7.122 -5.758 3.091
-3.076 -0.219 -3.507
-2.669 -1.885 -6.700
```

Summary:
* Fermi-level density of states: 9.255 states/eV/f.u.
* V: 395.0 Å³/cell
* crystal system: monoclinic
* symmetry: C2/m (12)

run ii is favored, and the nearest alternative lies 9.1 kJ/mol of atoms above it.

Run i
Entry from Alexandria via LeMat-Bulk: a relaxed Pm6SmEr3 crystal (GGA-PBE).

```
Pm6SmEr3
1.0
-1.207 5.995 2.017
-11.365 -2.667 1.127
8.844 -0.798 7.661
Pm Er Sm
12 6 2
Cartesian
-0.310 2.449 4.367
-11.421 -0.815 1.841
-5.646 -0.318 3.693
-6.242 3.414 3.096
-1.213 1.208 7.515
-2.094 -0.769 2.586
2.331 0.027 8.015
1.803 3.424 7.306
-2.997 -2.010 5.735
3.211 1.235 4.949
-7.122 2.205 6.162
7.563 3.995 9.183
-3.621 1.688 5.065
0.932 5.571 4.294
-0.741 3.273 10.124
-5.232 -0.196 7.468
0.265 -1.005 5.118
-3.560 2.102 1.638
-8.786 0.683 3.187
5.638 -1.036 6.647
```

Summary:
* Fermi-level density of states: 15.307 states/eV/f.u.
* V: 671.1 Å³/cell
* crystal system: orthorhombic
* symmetry: Cmc2_1 (36)

Run ii
Entry from Alexandria via LeMat-Bulk: a relaxed Pm6SmEr3 crystal (GGA-PBE).

```
Pm6SmEr3
1.0
6.301 0.000 0.000
0.000 10.959 -1.697
0.000 -4.100 10.304
Er Pm Sm
6 12 2
Cartesian
2.918 7.407 5.762
3.672 5.161 2.923
6.069 -0.548 2.844
2.918 2.895 0.101
0.521 1.698 5.684
6.069 3.964 8.506
4.068 0.122 6.939
2.443 10.386 -1.240
2.320 1.891 8.840
0.918 6.737 1.668
5.594 -3.527 9.847
0.289 2.900 2.361
0.289 5.205 5.253
3.440 1.654 3.354
2.320 -1.336 4.791
5.470 8.195 3.816
3.440 3.959 6.246
5.470 4.968 -0.233
0.725 -1.133 7.939
3.875 7.992 0.667
```

Summary:
* Fermi-level density of states: 14.032 states/eV/f.u.
* V: 667.7 Å³/cell
* crystal system: orthorhombic
* symmetry: Cmc2_1 (36)

run i is favored, and the nearest alternative lies 1.7 kJ/mol of atoms above it.

Run i
Entry from Alexandria via LeMat-Bulk: a relaxed PmSm6Er3 crystal (GGA-PBE).

```
PmSm6Er3
1.0
-4.032 -2.332 4.433
-0.718 -10.039 -5.933
7.347 3.351 8.444
Sm Er Pm
12 6 2
Cartesian
0.514 -6.700 -0.291
-1.825 -10.546 -4.360
2.656 -5.096 5.103
3.722 -5.507 1.194
0.281 -2.700 4.204
2.600 -0.010 5.415
-2.945 -7.036 1.340
4.916 -2.346 6.292
1.708 -2.537 7.647
3.977 1.268 11.794
-0.629 -9.372 2.217
1.348 -3.111 0.294
0.251 -5.826 2.731
-1.860 -3.952 0.765
2.552 -6.170 8.274
3.581 -2.480 2.855
-1.841 -1.738 6.610
2.532 -8.384 2.429
-1.486 -9.096 -1.393
6.030 1.202 6.196
```

Summary:
* Fermi-level density of states: 15.156 states/eV/f.u.
* V: 665.5 Å³/cell
* crystal system: orthorhombic
* symmetry: Cmc2_1 (36)

Run ii
Entry from Alexandria via LeMat-Bulk: a relaxed PmSm6Er3 crystal (GGA-PBE).

```
PmSm6Er3
1.0
6.258 0.000 0.000
0.000 10.950 -1.672
0.000 -4.073 10.300
Sm Er Pm
12 6 2
Cartesian
0.898 6.746 1.678
3.396 3.954 6.257
4.027 0.131 6.950
2.309 -1.341 4.766
2.309 1.931 8.873
0.267 2.923 2.371
5.438 8.218 3.863
0.267 5.217 5.250
2.476 10.344 -1.189
5.605 -3.468 9.818
3.396 1.659 3.378
5.438 4.945 -0.244
2.889 7.399 5.795
0.496 1.721 5.683
6.018 3.998 8.506
2.889 2.879 0.123
3.625 5.156 2.945
6.018 -0.523 2.834
3.884 7.960 0.710
0.755 -1.084 7.918
```

Summary:
* Fermi-level density of states: 14.112 states/eV/f.u.
* V: 663.2 Å³/cell
* crystal system: orthorhombic
* symmetry: Cmc2_1 (36)

run i is favored, and the nearest alternative lies 2.0 kJ/mol of atoms above it.

Run i
Entry from Alexandria via LeMat-Bulk: a relaxed Pm4Sm3Er4 crystal (GGA-PBE).

```
Pm4Sm3Er4
1.0
5.714 0.000 0.000
-2.857 6.030 0.000
0.000 0.000 10.677
Er Sm Pm
4 3 4
Cartesian
2.857 1.347 5.339
2.857 0.658 0.000
0.000 1.253 7.456
0.000 1.253 3.221
0.000 3.062 0.000
0.000 4.942 3.101
0.000 4.942 7.576
2.857 3.056 2.250
2.857 4.626 5.339
2.857 5.551 0.000
2.857 3.056 8.428
```

Summary:
* Fermi-level density of states: 16.820 states/eV/f.u.
* V: 367.9 Å³/cell
* crystal system: orthorhombic
* symmetry: Amm2 (38)

Run ii
Entry from Alexandria via LeMat-Bulk: a relaxed Pm4Sm3Er4 crystal (GGA-PBE).

```
Pm4Sm3Er4
1.0
-1.871 2.871 0.920
-9.036 -4.154 -5.416
2.758 -3.598 9.997
Er Sm Pm
4 3 4
Cartesian
0.486 -1.740 6.420
-4.135 -1.072 1.778
-8.635 -3.141 -0.919
-4.014 -3.809 3.722
-7.557 -3.949 3.797
-0.593 -0.932 1.703
-4.518 -2.077 -2.708
-2.856 0.553 -0.691
-2.488 -1.006 4.922
-8.052 -1.836 -3.806
-5.662 -3.875 0.578
```

Summary:
* Fermi-level density of states: 14.824 states/eV/f.u.
* V: 371.1 Å³/cell
* crystal system: orthorhombic
* symmetry: Immm (71)

run i is favored, and the nearest alternative lies 1.4 kJ/mol of atoms above it.